4
Lattice="-0.958 -0.784 5.176 2.410 -1.953 0.150 3.807 3.206 1.190" Properties=species:S:1:pos:R:3 comment="GGA-PBE Li2LaMo, relaxed" magnetic_moment_mub_per_fu=0.00 sg="P2/m, No. 10" formation_enthalpy_0k_ev_per_atom=0.441 de_polymorph_ev_per_fu=0.11 e_tot_ev_per_atom=-4.46 pbc="T T T"
La 4.184 0.548 3.593
Mo 1.075 -0.078 2.923
Li 2.838 0.538 0.607
Li 0.271 0.088 0.063